First-principles (PBE+U) data for a relaxed structure of Ce4Mo6O19, as listed in Alexandria.

The structure belongs to space group I23 (No. 197); the cell edges are 9.3052, 9.3052 and 9.3052 Å and the angles 90.00°, 90.00° and 90.00°. Symmetry generates all atoms from Ce at (0.1485, 0.1485, 0.1485), Mo at (0.0000, 0.1622, 0.5000), O at (0.0000, 0.0000, 0.0000), O at (0.0000, 0.0000, 0.3369) and O at (0.0427, 0.2865, 0.3238).

As for the total energy: -452.5 eV for the cell shown.